LiP2Rh | GGA-PBE | relaxed

## Properties
Energy above the most stable polymorph in this dataset   200 meV/atom
Calculated total energy   -5.255 eV/atom
ΔE_f   -233 meV per atom
V   13.27 Å³ per atom

Cell: 3.284 3.284 4.920 Å, 90.00 90.00 90.00°
Sites, in units of the cell vectors:
Li (0.000, 0.000, 0.000)
P (0.000, 0.000, 0.496)
P (0.500, 0.500, 0.206)
Rh (0.500, 0.500, 0.694)

***

AlRhBr2 | GGA-PBE | relaxed

## Properties
Energy above the most stable polymorph in this dataset   652 meV/atom
Formation energy from raw total energies   0.277 eV per atom
Calculated total energy   -3.333 eV/atom
V   20.61 Å³ per atom

Cell: 3.305 4.255 5.863 Å, 90.00 90.00 90.00°
Sites, in units of the cell vectors:
Al (0.000, 0.000, 0.000)
Rh (0.500, 0.000, 0.500)
Br (0.000, 0.500, 0.500)
Br (0.500, 0.500, 0.000)

***

ZnFe4Ir5 | GGA-PBE | relaxed

## Properties
Calculated total energy   -8.000 eV/atom
ΔE_f   -57 meV per atom
V   13.27 Å³ per atom

Cell: 2.702 2.702 18.186 Å, 90.00 90.00 90.00°
Sites, in units of the cell vectors:
Zn (0.000, 0.000, 0.000)
Fe (0.000, 0.000, 0.202)
Fe (0.000, 0.000, 0.401)
Fe (0.000, 0.000, 0.599)
Fe (0.000, 0.000, 0.798)
Ir (0.500, 0.500, 0.108)
Ir (0.500, 0.500, 0.301)
Ir (0.500, 0.500, 0.500)
Ir (0.500, 0.500, 0.699)
Ir (0.500, 0.500, 0.892)

***

VCu2Pd4 | GGA-PBE | relaxed

## Properties
Energy above the most stable polymorph in this dataset   1 meV/atom
Calculated total energy   -5.429 eV/atom
ΔE_f   11 meV per atom
V   14.88 Å³ per atom

Cell: 4.782 8.357 5.213 Å, 90.00 90.67 90.00°
Sites, in units of the cell vectors:
V (0.000, 0.000, 0.000)
V (0.000, 0.500, 0.500)
Cu (0.253, 0.025, 0.513)
Cu (0.253, 0.475, 0.013)
Cu (0.747, 0.525, 0.987)
Cu (0.747, 0.975, 0.487)
Pd (0.064, 0.750, 0.246)
Pd (0.064, 0.750, 0.746)
Pd (0.448, 0.165, 0.007)
Pd (0.448, 0.335, 0.507)
Pd (0.552, 0.665, 0.493)
Pd (0.552, 0.835, 0.993)
Pd (0.936, 0.250, 0.254)
Pd (0.936, 0.250, 0.754)

***

LiNbMo3 | GGA-PBE | relaxed

## Properties
Energy above the most stable polymorph in this dataset   0 meV/atom
Calculated total energy   -7.715 eV/atom
ΔE_f   1180 meV per atom
V   15.71 Å³ per atom

Cell: 4.283 4.283 4.283 Å, 90.00 90.00 90.00°
Sites, in units of the cell vectors:
Li (0.000, 0.000, 0.000)
Nb (0.500, 0.500, 0.500)
Mo (0.000, 0.000, 0.500)
Mo (0.000, 0.500, 0.000)
Mo (0.500, 0.000, 0.000)

***

Q: Look up the V of the fourth one.
A: 14.88 Å³ per atom